Record 1
# SrSmTlSn

SrSmTlSn after structural relaxation (PBE, the Alexandria database).

Lattice parameters (Å, degrees): 5.595 5.595 5.595 60.00 60.00 60.00
Element x y z (fractional)
Sr (0.000, 0.000, 0.000)
Sm (0.500, 0.500, 0.500)
Tl (0.750, 0.750, 0.750)
Sn (0.250, 0.250, 0.250)

Values from the calculation:
For the energy of formation, the calculation gives -44.2 kJ per mole of atoms. As for the density of states at the Fermi level: 0.6426 states/eV/atom. As for the space group: F-43m.

Record 2
# SrSmZnSn

SrSmZnSn after structural relaxation (PBE, the Alexandria database).

Lattice parameters (Å, degrees): 5.452 5.452 5.452 60.00 60.00 60.00
Element x y z (fractional)
Sr (0.000, 0.000, 0.000)
Sm (0.500, 0.500, 0.500)
Zn (0.750, 0.750, 0.750)
Sn (0.250, 0.250, 0.250)

Values from the calculation:
For the energy of formation, the calculation gives -40.4 kJ per mole of atoms. As for the density of states at the Fermi level: 0.9070 states/eV/atom. As for the space group: F-43m.

Record 3
# SmTaSn

SmTaSn after structural relaxation (PBE, the Alexandria database).

Lattice parameters (Å, degrees): 4.224 4.224 8.339 90.00 90.00 90.00
Element x y z (fractional)
Sm (0.250, 0.250, 0.150)
Sm (0.750, 0.750, 0.850)
Ta (0.250, 0.750, 0.500)
Ta (0.750, 0.250, 0.500)
Sn (0.250, 0.250, 0.745)
Sn (0.750, 0.750, 0.255)

Values from the calculation:
For the energy of formation, the calculation gives -34.0 kJ per mole of atoms. As for the density of states at the Fermi level: 0.6282 states/eV/atom. As for the space group: P4/nmm.

Record 4
# TbSm3Sn2

TbSm3Sn2 after structural relaxation (PBE, the Alexandria database).

Lattice parameters (Å, degrees): 9.085 9.085 9.085 132.68 71.80 129.38
Element x y z (fractional)
Tb (0.000, 0.000, 0.000)
Tb (0.500, 0.500, 0.000)
Sm (0.038, 0.250, 0.788)
Sm (0.250, 0.750, 0.500)
Sm (0.462, 0.250, 0.212)
Sm (0.538, 0.750, 0.788)
Sm (0.750, 0.250, 0.500)
Sm (0.962, 0.750, 0.212)
Sn (0.142, 0.683, 0.824)
Sn (0.358, 0.183, 0.541)
Sn (0.642, 0.817, 0.459)
Sn (0.858, 0.317, 0.176)

Values from the calculation:
For the energy of formation, the calculation gives -31.8 kJ per mole of atoms. As for the density of states at the Fermi level: 1.3502 states/eV/atom. As for the space group: Ibam.

Record 5
# Tb4SmSn2

Tb4SmSn2 after structural relaxation (PBE, the Alexandria database).

Lattice parameters (Å, degrees): 8.989 8.989 8.989 145.31 145.31 49.88
Element x y z (fractional)
Tb (0.000, 0.500, 0.500)
Tb (0.184, 0.184, 0.000)
Tb (0.500, 0.000, 0.500)
Tb (0.816, 0.816, 0.000)
Sm (0.000, 0.000, 0.000)
Sn (0.371, 0.371, 0.000)
Sn (0.629, 0.629, 0.000)

Values from the calculation:
For the energy of formation, the calculation gives 35.2 kJ per mole of atoms. As for the density of states at the Fermi level: 1.3283 states/eV/atom. As for the space group: I4/mmm.

Record 6
# TbSm4Sn2

TbSm4Sn2 after structural relaxation (PBE, the Alexandria database).

Lattice parameters (Å, degrees): 10.669 10.669 10.669 28.30 28.30 28.30
Element x y z (fractional)
Tb (0.000, 0.000, 0.000)
Sm (0.206, 0.206, 0.206)
Sm (0.387, 0.387, 0.387)
Sm (0.613, 0.613, 0.613)
Sm (0.794, 0.794, 0.794)
Sn (0.101, 0.101, 0.101)
Sn (0.899, 0.899, 0.899)

Values from the calculation:
For the energy of formation, the calculation gives -22.3 kJ per mole of atoms. As for the density of states at the Fermi level: 1.4357 states/eV/atom. As for the space group: R-3m.